1.
PrHf4Rh5 | GGA-PBE | relaxed

VASP energy   -8.986 eV per atom
Volume   185.7 Å³/cell

```
data_PrHf4Rh5
_chemical_formula_sum 'Pr1 Hf4 Rh5'
_space_group_name_H-M_alt 'P 1'
_space_group_IT_number 1
_space_group_name_Hall 'P 1'
_cell_length_a 3.2930
_cell_length_b 3.2930
_cell_length_c 17.1283
_cell_angle_alpha 90.00
_cell_angle_beta 90.00
_cell_angle_gamma 90.00
loop_
_atom_site_label
_atom_site_fract_x
_atom_site_fract_y
_atom_site_fract_z
Rh1 0.5000 0.5000 0.3149
Rh2 0.5000 0.5000 0.8675
Rh3 0.5000 0.5000 0.6851
Rh4 0.5000 0.5000 0.5000
Rh5 0.5000 0.5000 0.1325
Hf1 0.0000 0.0000 0.4049
Hf2 0.0000 0.0000 0.2122
Hf3 0.0000 0.0000 0.5951
Hf4 0.0000 0.0000 0.7878
Pr1 0.0000 0.0000 0.0000
```

=====

2.
Pu3Si2Pt6 | GGA-PBE | relaxed

VASP energy   -8.941 eV per atom
Formation energy without anion corrections   -17.3 kcal/mol of atoms
Volume   415.9 Å³/cell

```
data_Pu3Si2Pt6
_chemical_formula_sum 'Pu6 Si4 Pt12'
_space_group_name_H-M_alt 'P 1'
_space_group_IT_number 1
_space_group_name_Hall 'P 1'
_cell_length_a 8.1448
_cell_length_b 8.1448
_cell_length_c 8.1448
_cell_angle_alpha 109.47
_cell_angle_beta 109.47
_cell_angle_gamma 109.47
loop_
_atom_site_label
_atom_site_fract_x
_atom_site_fract_y
_atom_site_fract_z
Pu1 0.7219 0.0000 0.7219
Pu2 0.0000 0.2781 0.2781
Pu3 0.0000 0.7219 0.7219
Pu4 0.7219 0.7219 0.0000
Pu5 0.2781 0.2781 0.0000
Pu6 0.2781 0.0000 0.2781
Pt1 0.6456 0.3228 0.3228
Pt2 0.3544 0.6772 0.6772
Pt3 0.0000 0.6772 0.3228
Pt4 0.3228 0.3228 0.6456
Pt5 0.0000 0.3228 0.6772
Pt6 0.6772 0.6772 0.3544
Pt7 0.3228 0.6772 0.0000
Pt8 0.3228 0.6456 0.3228
Pt9 0.3228 0.0000 0.6772
Pt10 0.6772 0.0000 0.3228
Pt11 0.6772 0.3544 0.6772
Pt12 0.6772 0.3228 0.0000
Si1 0.5000 0.5000 0.5000
Si2 0.0000 0.0000 0.5000
Si3 0.5000 0.0000 0.0000
Si4 0.0000 0.5000 0.0000
```

=====

3.
PrSnTe4 | GGA-PBE | relaxed

VASP energy   -4.099 eV per atom
Formation energy without anion corrections   -12.5 kcal/mol of atoms
Volume   499.1 Å³/cell

```
data_PrSnTe4
_chemical_formula_sum 'Pr2 Sn2 Te8'
_space_group_name_H-M_alt 'P 1'
_space_group_IT_number 1
_space_group_name_Hall 'P 1'
_cell_length_a 6.3693
_cell_length_b 8.1949
_cell_length_c 10.3971
_cell_angle_alpha 90.00
_cell_angle_beta 90.00
_cell_angle_gamma 113.11
loop_
_atom_site_label
_atom_site_fract_x
_atom_site_fract_y
_atom_site_fract_z
Te1 0.3260 0.1117 0.7500
Te2 0.8047 0.3595 0.9424
Te3 0.1953 0.6405 0.4424
Te4 0.3741 0.2603 0.2500
Te5 0.6740 0.8883 0.2500
Te6 0.8047 0.3595 0.5576
Te7 0.1953 0.6405 0.0576
Te8 0.6259 0.7397 0.7500
Pr1 0.9090 0.3095 0.2500
Pr2 0.0910 0.6905 0.7500
Sn1 0.1153 0.8879 0.2500
Sn2 0.8847 0.1121 0.7500
```

=====

4.
BaTa2IBr | GGA-PBE | relaxed

VASP energy   -4.797 eV per atom
Formation energy without anion corrections   22.4 kcal/mol of atoms
Volume   158.2 Å³/cell

```
data_BaTa2IBr
_chemical_formula_sum 'Ba1 Ta2 I1 Br1'
_space_group_name_H-M_alt 'P 1'
_space_group_IT_number 1
_space_group_name_Hall 'P 1'
_cell_length_a 4.8553
_cell_length_b 6.7099
_cell_length_c 4.8553
_cell_angle_alpha 90.00
_cell_angle_beta 90.00
_cell_angle_gamma 90.00
loop_
_atom_site_label
_atom_site_fract_x
_atom_site_fract_y
_atom_site_fract_z
Br1 0.0000 0.0000 0.0000
Ta1 0.0000 0.0000 0.5000
Ta2 0.5000 0.0000 0.0000
Ba1 0.0000 0.5000 0.0000
I1 0.5000 0.5000 0.5000
```

=====

Which of these has the lowest VASP energy? PrHf4Rh5